# Bi2Se3 (GGA-PBE, relaxed)
# - ΔE_f (raw) (meV/atom) = -157
# - uncorrected energy (eV/atom) = -3.800
# - SG = Amm2
data_Bi2Se3
_chemical_formula_sum 'Bi2 Se3'
_symmetry_space_group_name_H-M 'P 1'
_symmetry_Int_Tables_number 1
_symmetry_space_group_name_Hall 'P 1'
_cell_length_a 4.559
_cell_length_b 7.177
_cell_length_c 7.177
_cell_angle_alpha 67.42
_cell_angle_beta 90.00
_cell_angle_gamma 90.00
loop_
_atom_site_label
_atom_site_type_symbol
_atom_site_fract_x
_atom_site_fract_y
_atom_site_fract_z
Bi1 Bi 0.000 0.000 0.000
Bi2 Bi 0.500 0.373 0.373
Se1 Se 0.000 0.109 0.586
Se2 Se 0.000 0.586 0.109
Se3 Se 0.500 0.143 0.143